i:
{
  "formula": "La2CuPdPt",
  "functional": "PBE-GGA",
  "state": "relaxed",
  "total_magnetization_mub_per_cell": 0.00,
  "space_group": "No. 123",
  "cell": [[5.397, 0.000, 0.000], [0.000, 4.592, 0.000], [0.000, 0.000, 5.397]],
  "species": ["La", "La", "Pt", "Pd", "Cu"],
  "fractional_positions": [[0.500, 0.000, 0.000], [0.000, 0.000, 0.500], [0.000, 0.500, 0.000], [0.500, 0.500, 0.500], [0.000, 0.000, 0.000]]
}

***

ii:
{
  "formula": "La2CuPdPt",
  "functional": "PBE-GGA",
  "state": "relaxed",
  "total_magnetization_mub_per_cell": 0.00,
  "space_group": "No. 11",
  "cell": [[-2.049, 1.998, 3.299], [4.938, -3.282, 5.055], [2.474, 6.448, -2.368]],
  "species": ["La", "La", "La", "La", "Cu", "Cu", "Pt", "Pt", "Pd", "Pd"],
  "fractional_positions": [[0.750, 0.696, 0.041], [0.250, 0.146, 0.384], [0.750, 0.854, 0.616], [0.250, 0.304, 0.959], [0.250, 0.551, 0.632], [0.750, 0.449, 0.368], [0.750, 0.321, 0.676], [0.250, 0.679, 0.324], [0.250, 0.888, 0.908], [0.750, 0.112, 0.092]]
}

***

Question: which arrangement is favored energetically? Ranking from most to least stable: ii, i.

***

i:
{
  "formula": "La2CuPdRu",
  "functional": "PBE-GGA",
  "state": "relaxed",
  "total_magnetization_mub_per_cell": 0.00,
  "space_group": "No. 123",
  "cell": [[-1.669, 3.157, -4.123], [-4.205, -1.368, 0.655], [-0.799, 4.123, 3.480]],
  "species": ["La", "La", "Cu", "Pd", "Ru"],
  "fractional_positions": [[0.500, 0.000, 0.000], [0.000, 0.000, 0.500], [0.000, 0.000, 0.000], [0.500, 0.500, 0.500], [0.000, 0.500, 0.000]]
}

***

ii:
{
  "formula": "La2CuPdRu",
  "functional": "PBE-GGA",
  "state": "relaxed",
  "total_magnetization_mub_per_cell": 0.00,
  "space_group": "No. 123",
  "cell": [[-5.311, 0.179, -0.579], [0.345, -3.309, -4.183], [-0.458, -3.857, 3.013]],
  "species": ["Ru", "La", "La", "Pd", "Cu"],
  "fractional_positions": [[0.000, 0.000, 0.000], [0.000, 0.500, 0.000], [0.500, 0.000, 0.000], [0.000, 0.000, 0.500], [0.500, 0.500, 0.500]]
}

***

Question: which arrangement is favored energetically? Ranking from most to least stable: ii, i.

***

i:
{
  "formula": "LaTbCuPd",
  "functional": "PBE-GGA",
  "state": "relaxed",
  "total_magnetization_mub_per_cell": 0.00,
  "space_group": "No. 216",
  "cell": [[5.089, 0.000, 0.000], [2.545, 4.407, 0.000], [2.545, 1.469, 4.155]],
  "species": ["La", "Tb", "Pd", "Cu"],
  "fractional_positions": [[0.500, 0.500, 0.500], [0.000, 0.000, 0.000], [0.750, 0.750, 0.750], [0.250, 0.250, 0.250]]
}

***

ii:
{
  "formula": "LaTbCuPd",
  "functional": "PBE-GGA",
  "state": "relaxed",
  "total_magnetization_mub_per_cell": 0.00,
  "space_group": "No. 38",
  "cell": [[3.850, 0.000, 0.000], [0.000, 4.641, 0.000], [-1.925, 0.000, 5.383]],
  "species": ["La", "Tb", "Cu", "Pd"],
  "fractional_positions": [[0.860, 0.500, 0.721], [0.135, 0.000, 0.270], [0.425, 0.000, 0.850], [0.580, 0.500, 0.159]]
}

***

Question: which arrangement is favored energetically? Ranking from most to least stable: ii, i.

***

i:
{
  "formula": "LaTmCuPd",
  "functional": "PBE-GGA",
  "state": "relaxed",
  "total_magnetization_mub_per_cell": 0.00,
  "space_group": "No. 38",
  "cell": [[3.843, 0.000, 0.000], [0.000, 4.606, 0.000], [-1.922, 0.000, 5.309]],
  "species": ["La", "Tm", "Cu", "Pd"],
  "fractional_positions": [[0.858, 0.500, 0.717], [0.135, 0.000, 0.270], [0.580, 0.500, 0.159], [0.427, 0.000, 0.854]]
}

***

ii:
{
  "formula": "LaTmCuPd",
  "functional": "PBE-GGA",
  "state": "relaxed",
  "total_magnetization_mub_per_cell": 0.00,
  "space_group": "No. 216",
  "cell": [[-0.795, 1.579, -4.728], [2.553, -2.088, -3.821], [-2.385, -2.992, -3.293]],
  "species": ["Pd", "Cu", "Tm", "La"],
  "fractional_positions": [[0.750, 0.750, 0.750], [0.250, 0.250, 0.250], [0.000, 0.000, 0.000], [0.500, 0.500, 0.500]]
}

***

Question: which arrangement is favored energetically? Ranking from most to least stable: i, ii.

***

i:
{
  "formula": "LaPm2Cu2",
  "functional": "PBE-GGA",
  "state": "relaxed",
  "total_magnetization_mub_per_cell": 0.00,
  "space_group": "No. 11",
  "cell": [[-3.270, -1.630, 3.055], [3.625, -0.881, 3.409], [-2.369, 10.519, 3.075]],
  "species": ["Cu", "Cu", "Cu", "Cu", "Pm", "Pm", "Pm", "Pm", "La", "La"],
  "fractional_positions": [[0.750, 0.615, 0.002], [0.250, 0.788, 0.635], [0.750, 0.212, 0.365], [0.250, 0.385, 0.998], [0.250, 0.253, 0.509], [0.250, 0.849, 0.884], [0.750, 0.151, 0.116], [0.750, 0.747, 0.491], [0.750, 0.308, 0.756], [0.250, 0.692, 0.244]]
}

***

ii:
{
  "formula": "LaPm2Cu2",
  "functional": "PBE-GGA",
  "state": "relaxed",
  "total_magnetization_mub_per_cell": 0.00,
  "space_group": "No. 63",
  "cell": [[-2.929, 2.148, 0.128], [-2.566, -3.663, 2.755], [5.960, 4.380, 11.375]],
  "species": ["Pm", "Pm", "Pm", "Pm", "La", "La", "Cu", "Cu", "Cu", "Cu"],
  "fractional_positions": [[0.047, 0.750, 0.094], [0.771, 0.250, 0.542], [0.229, 0.750, 0.458], [0.953, 0.250, 0.906], [0.140, 0.250, 0.281], [0.860, 0.750, 0.719], [0.543, 0.250, 0.087], [0.457, 0.750, 0.913], [0.361, 0.250, 0.721], [0.639, 0.750, 0.279]]
}

***

Question: which arrangement is favored energetically? Ranking from most to least stable: ii, i.

***

i:
{
  "formula": "La2PmCu3",
  "functional": "PBE-GGA",
  "state": "relaxed",
  "total_magnetization_mub_per_cell": 0.00,
  "space_group": "No. 65",
  "cell": [[-5.921, -2.618, 4.838], [5.486, -2.439, -5.411], [4.867, -1.031, 5.400]],
  "species": ["Pm", "Pm", "La", "La", "La", "La", "Cu", "Cu", "Cu", "Cu", "Cu", "Cu"],
  "fractional_positions": [[0.333, 0.667, 0.000], [0.667, 0.333, 0.000], [0.000, 0.000, 0.500], [0.000, 0.000, 0.000], [0.334, 0.666, 0.500], [0.666, 0.334, 0.500], [0.500, 0.500, 0.756], [0.171, 0.829, 0.763], [0.500, 0.500, 0.244], [0.829, 0.171, 0.237], [0.829, 0.171, 0.763], [0.171, 0.829, 0.237]]
}

***

ii:
{
  "formula": "La2PmCu3",
  "functional": "PBE-GGA",
  "state": "relaxed",
  "total_magnetization_mub_per_cell": 0.00,
  "space_group": "No. 123",
  "cell": [[3.608, 0.000, 0.000], [0.000, 3.608, 0.000], [0.000, 0.000, 10.972]],
  "species": ["Cu", "Cu", "Cu", "Pm", "La", "La"],
  "fractional_positions": [[0.000, 0.000, 0.344], [0.000, 0.000, 0.656], [0.000, 0.000, 0.000], [0.500, 0.500, 0.500], [0.500, 0.500, 0.831], [0.500, 0.500, 0.169]]
}

***

Question: which arrangement is favored energetically? Ranking from most to least stable: ii, i.

***

i:
{
  "formula": "LaPmCuPt",
  "functional": "PBE-GGA",
  "state": "relaxed",
  "total_magnetization_mub_per_cell": 0.00,
  "space_group": "No. 216",
  "cell": [[-1.067, -0.084, -5.010], [-1.280, -4.409, -2.273], [-4.812, -0.764, -1.582]],
  "species": ["La", "Cu", "Pt", "Pm"],
  "fractional_positions": [[0.500, 0.500, 0.500], [0.250, 0.250, 0.250], [0.750, 0.750, 0.750], [0.000, 0.000, 0.000]]
}

***

ii:
{
  "formula": "LaPmCuPt",
  "functional": "PBE-GGA",
  "state": "relaxed",
  "total_magnetization_mub_per_cell": 0.00,
  "space_group": "No. 38",
  "cell": [[-0.982, -3.356, 1.828], [2.898, -2.330, -2.720], [4.479, 2.461, 2.665]],
  "species": ["Cu", "La", "Pt", "Pm"],
  "fractional_positions": [[0.575, 0.500, 0.151], [0.139, 0.000, 0.277], [0.422, 0.000, 0.845], [0.864, 0.500, 0.728]]
}

***

Question: which arrangement is favored energetically? Ranking from most to least stable: ii, i.

***

i:
{
  "formula": "LaPmCuRh",
  "functional": "PBE-GGA",
  "state": "relaxed",
  "total_magnetization_mub_per_cell": 0.00,
  "space_group": "No. 38",
  "cell": [[3.977, 0.000, 0.000], [0.000, 4.408, 0.000], [-1.988, 0.000, 5.440]],
  "species": ["Pm", "La", "Cu", "Rh"],
  "fractional_positions": [[0.139, 0.000, 0.277], [0.865, 0.500, 0.729], [0.576, 0.500, 0.152], [0.420, 0.000, 0.841]]
}

***

ii:
{
  "formula": "LaPmCuRh",
  "functional": "PBE-GGA",
  "state": "relaxed",
  "total_magnetization_mub_per_cell": 0.00,
  "space_group": "No. 216",
  "cell": [[-0.160, 0.316, -5.057], [-2.679, -3.378, -2.668], [-4.280, 1.419, -2.317]],
  "species": ["Rh", "La", "Cu", "Pm"],
  "fractional_positions": [[0.750, 0.750, 0.750], [0.500, 0.500, 0.500], [0.250, 0.250, 0.250], [0.000, 0.000, 0.000]]
}

***

Question: which arrangement is favored energetically? Ranking from most to least stable: i, ii.

***

i:
{
  "formula": "LaPr2Cu",
  "functional": "PBE-GGA",
  "state": "relaxed",
  "total_magnetization_mub_per_cell": 0.00,
  "space_group": "No. 62",
  "cell": [[-1.291, 6.346, 1.617], [-2.713, 1.105, -6.501], [-9.366, -2.781, 3.436]],
  "species": ["Cu", "Cu", "Cu", "Cu", "Pr", "Pr", "Pr", "Pr", "Pr", "Pr", "Pr", "Pr", "La", "La", "La", "La"],
  "fractional_positions": [[0.573, 0.106, 0.750], [0.427, 0.894, 0.250], [0.073, 0.394, 0.250], [0.927, 0.606, 0.750], [0.831, 0.310, 0.941], [0.169, 0.690, 0.059], [0.669, 0.810, 0.559], [0.669, 0.810, 0.941], [0.831, 0.310, 0.559], [0.169, 0.690, 0.441], [0.331, 0.190, 0.059], [0.331, 0.190, 0.441], [0.642, 0.522, 0.250], [0.142, 0.978, 0.750], [0.858, 0.022, 0.250], [0.358, 0.478, 0.750]]
}

***

ii:
{
  "formula": "LaPr2Cu",
  "functional": "PBE-GGA",
  "state": "relaxed",
  "total_magnetization_mub_per_cell": 0.00,
  "space_group": "No. 160",
  "cell": [[-3.168, 1.925, -0.760], [-3.251, -0.969, 1.677], [-0.079, 6.755, 8.023]],
  "species": ["Pr", "Pr", "Cu", "La"],
  "fractional_positions": [[0.066, 0.066, 0.802], [0.267, 0.267, 0.198], [0.667, 0.667, 0.000], [0.500, 0.500, 0.500]]
}

***

Question: which arrangement is favored energetically? Ranking from most to least stable: i, ii.

***

i:
{
  "formula": "LaPr2Cu",
  "functional": "PBE-GGA",
  "state": "relaxed",
  "total_magnetization_mub_per_cell": 0.19,
  "space_group": "No. 166",
  "cell": [[-2.922, 2.108, 0.091], [-3.260, -1.458, 0.490], [-0.892, 1.357, 11.358]],
  "species": ["Pr", "Pr", "Cu", "La"],
  "fractional_positions": [[0.896, 0.896, 0.313], [0.104, 0.104, 0.687], [0.500, 0.500, 0.500], [0.000, 0.000, 0.000]]
}

***

ii:
{
  "formula": "LaPr2Cu",
  "functional": "PBE-GGA",
  "state": "relaxed",
  "total_magnetization_mub_per_cell": 0.00,
  "space_group": "No. 123",
  "cell": [[-0.688, -1.573, 3.244], [0.669, -3.301, -1.459], [8.647, 0.775, 2.210]],
  "species": ["Pr", "Pr", "Cu", "La"],
  "fractional_positions": [[0.000, 0.000, 0.805], [0.000, 0.000, 0.195], [0.500, 0.500, 0.000], [0.500, 0.500, 0.500]]
}

***

iii:
{
  "formula": "LaPr2Cu",
  "functional": "PBE-GGA",
  "state": "relaxed",
  "total_magnetization_mub_per_cell": 0.00,
  "space_group": "No. 11",
  "cell": [[-2.019, 4.543, -1.147], [-4.113, -3.813, 3.450], [2.833, 2.927, 6.612]],
  "species": ["La", "La", "Pr", "Pr", "Pr", "Pr", "Cu", "Cu"],
  "fractional_positions": [[0.950, 0.901, 0.250], [0.050, 0.099, 0.750], [0.646, 0.292, 0.027], [0.354, 0.708, 0.973], [0.354, 0.708, 0.527], [0.646, 0.292, 0.473], [0.197, 0.394, 0.250], [0.803, 0.606, 0.750]]
}

***

Question: which arrangement is favored energetically? Ranking from most to least stable: iii, ii, i.

***

i:
{
  "formula": "La2PrCu2",
  "functional": "PBE-GGA",
  "state": "relaxed",
  "total_magnetization_mub_per_cell": 0.00,
  "space_group": "No. 65",
  "cell": [[-1.798, 1.450, 3.110], [1.783, -3.087, 2.469], [5.562, 6.431, 0.217]],
  "species": ["Cu", "Cu", "La", "La", "Pr"],
  "fractional_positions": [[0.000, 0.794, 0.587], [0.000, 0.206, 0.413], [0.500, 0.646, 0.292], [0.500, 0.354, 0.708], [0.000, 0.000, 0.000]]
}

***

ii:
{
  "formula": "La2PrCu2",
  "functional": "PBE-GGA",
  "state": "relaxed",
  "total_magnetization_mub_per_cell": 0.00,
  "space_group": "No. 11",
  "cell": [[4.853, 0.000, 0.000], [0.000, 4.014, -0.209], [0.000, -1.285, 14.079]],
  "species": ["Pr", "Pr", "Cu", "Cu", "Cu", "Cu", "La", "La", "La", "La"],
  "fractional_positions": [[0.250, 0.636, 0.272], [0.750, 0.364, 0.728], [0.750, 0.474, 0.948], [0.750, 0.159, 0.317], [0.250, 0.841, 0.683], [0.250, 0.526, 0.052], [0.250, 0.266, 0.535], [0.750, 0.734, 0.465], [0.250, 0.946, 0.893], [0.750, 0.054, 0.107]]
}

***

Question: which arrangement is favored energetically? Ranking from most to least stable: i, ii.

***

i:
{
  "formula": "LaPrCuRh",
  "functional": "PBE-GGA",
  "state": "relaxed",
  "total_magnetization_mub_per_cell": 0.00,
  "space_group": "No. 38",
  "cell": [[4.010, 0.000, 0.000], [0.000, 4.407, 0.000], [-2.005, 0.000, 5.507]],
  "species": ["La", "Rh", "Cu", "Pr"],
  "fractional_positions": [[0.866, 0.500, 0.732], [0.419, 0.000, 0.838], [0.575, 0.500, 0.150], [0.140, 0.000, 0.280]]
}

***

ii:
{
  "formula": "LaPrCuRh",
  "functional": "PBE-GGA",
  "state": "relaxed",
  "total_magnetization_mub_per_cell": 0.00,
  "space_group": "No. 216",
  "cell": [[-4.700, -1.419, 1.399], [-0.669, -4.231, 2.776], [-1.424, 0.354, 4.889]],
  "species": ["La", "Pr", "Rh", "Cu"],
  "fractional_positions": [[0.000, 0.000, 0.000], [0.500, 0.500, 0.500], [0.750, 0.750, 0.750], [0.250, 0.250, 0.250]]
}

***

Question: which arrangement is favored energetically? Ranking from most to least stable: i, ii.